# CsMnSiO4 (PBE+U, relaxed)
# total DFT energy (no corrections): -6.854 eV/atom
# volume: 231.2 Å³/cell
# magnetic moment: 4.000 μB/f.u.
data_CsMnSiO4
_chemical_formula_sum 'Cs2 Mn2 Si2 O8'
_space_group_name_H-M_alt 'P 1 21/m 1'
_space_group_IT_number 11
_space_group_name_Hall '-P 2yb'
_cell_length_a 5.2427
_cell_length_b 5.6414
_cell_length_c 7.8175
_cell_angle_alpha 90.00
_cell_angle_beta 90.82
_cell_angle_gamma 90.00
loop_
_atom_site_label
_atom_site_fract_x
_atom_site_fract_y
_atom_site_fract_z
Cs1 0.2391 0.2500 0.1107
Mn1 0.2013 0.7500 0.4677
Si1 0.3178 0.2500 0.6352
O1 0.1180 0.0252 0.6509
O2 0.4173 0.7500 0.2476
O3 0.4562 0.2500 0.4450

=====

# Cs3Sm2MnO6 (PBE+U, relaxed)
# total DFT energy (no corrections): -6.201 eV/atom
# volume: 454.5 Å³/cell
# magnetic moment: 3.941 μB/f.u.
data_Cs3Sm2MnO6
_chemical_formula_sum 'Cs6 Sm4 Mn2 O12'
_space_group_name_H-M_alt 'C 1 2/m 1'
_space_group_IT_number 12
_space_group_name_Hall '-C 2y'
_cell_length_a 6.3823
_cell_length_b 10.3743
_cell_length_c 7.2816
_cell_angle_alpha 90.00
_cell_angle_beta 109.48
_cell_angle_gamma 90.00
loop_
_atom_site_label
_atom_site_fract_x
_atom_site_fract_y
_atom_site_fract_z
Cs1 0.0000 0.0000 0.0000
Cs2 0.0000 0.3342 0.0000
Sm1 0.0000 0.1639 0.5000
Mn1 0.0000 0.5000 0.5000
O1 0.2035 0.0000 0.6984
O2 0.2051 0.3551 0.6450